! GGA-PBE Sc4CuAu2, relaxed; values from VASP
! Total magnetic moment ... 0.0 Bohr magnetons per cell
! Energy of formation from the pure elements ... -11.3 kcal/mol of atoms
&SYSTEM
  ibrav = 0, nat = 7, ntyp = 3
/
ATOMIC_SPECIES
Cu 63.55 Cu.upf
Sc 44.96 Sc.upf
Au 196.97 Au.upf
CELL_PARAMETERS angstrom
4.491 0.000 1.403
2.026 4.008 1.403
-0.074 -0.046 8.126
ATOMIC_POSITIONS crystal
Cu 0.000 0.000 0.000
Sc 0.624 0.624 0.129
Sc 0.376 0.376 0.871
Sc 0.126 0.126 0.623
Sc 0.874 0.874 0.377
Au 0.750 0.750 0.749
Au 0.250 0.250 0.251